# KCrCdF6

A relaxed KCrCdF6 crystal (GGA+U, Alexandria via LeMat-Bulk).

## Properties
VASP energy (eV per atom): -4.94
SG: No. 163
DOS(E_F) (states/eV per cell): 0.000
Crystal system: trigonal
Magnetization (μB/f.u.): 3.0

Lattice parameters (Å, degrees): 5.7325 5.7325 10.8213 90.00 90.00 120.00
Fractional positions:
K  0.0000  0.0000  0.0000
K  0.0000  0.0000  0.5000
Cr  0.3333  0.6667  0.2500
Cr  0.6667  0.3333  0.7500
Cd  0.3333  0.6667  0.7500
Cd  0.6667  0.3333  0.2500
F  0.0414  0.3925  0.1493
F  0.0414  0.6489  0.3507
F  0.3511  0.3925  0.3507
F  0.3511  0.9586  0.1493
F  0.3925  0.0414  0.6493
F  0.3925  0.3511  0.8507
F  0.6075  0.6489  0.1493
F  0.6075  0.9586  0.3507
F  0.6489  0.0414  0.8507
F  0.6489  0.6075  0.6493
F  0.9586  0.3511  0.6493
F  0.9586  0.6075  0.8507